No. 1
VASP calculation (GGA-PBE) on a relaxed Cs2CaAgI6 crystal. Values from VASP.

Quantum ESPRESSO input file:
```
&SYSTEM
  ibrav = 0, nat = 10, ntyp = 4
/
ATOMIC_SPECIES
I 126.90 I.upf
Cs 132.91 Cs.upf
Ag 107.87 Ag.upf
Ca 40.08 Ca.upf
CELL_PARAMETERS angstrom
-1.347 -8.420 1.039
8.328 -1.513 -1.464
4.640 -4.414 5.756
ATOMIC_POSITIONS angstrom
I 5.961 -3.202 -0.852
Cs 8.229 -5.446 2.040
Ag 0.000 0.000 0.000
Ca 3.490 -4.966 -0.212
Cs 3.392 -8.900 3.291
I 4.075 -4.685 2.820
I 1.708 -2.430 -0.104
I 1.020 -6.730 0.427
I 5.273 -7.503 -0.321
I 7.546 -9.661 2.510
```

Summary:
* symmetry: I4/mmm, No. 139
* D(E_F): 1.48 states/eV per atom
* formation energy (no corrections): -1.09 eV/atom
* magnetic moment: 0.000 μB/atom
* E_tot: -26.72 eV per cell

---

No. 2
VASP calculation (GGA-PBE) on a relaxed Cs2CaAg2I6 crystal. Values from VASP.

Quantum ESPRESSO input file:
```
&SYSTEM
  ibrav = 0, nat = 11, ntyp = 4
/
ATOMIC_SPECIES
Cs 132.91 Cs.upf
I 126.90 I.upf
Ca 40.08 Ca.upf
Ag 107.87 Ag.upf
CELL_PARAMETERS angstrom
-7.906 3.807 0.301
2.513 -5.410 6.372
4.014 8.327 0.125
ATOMIC_POSITIONS angstrom
Cs 2.418 4.724 3.751
Cs -3.796 1.999 3.047
I -2.121 5.459 3.295
I 0.742 1.264 3.503
I -2.309 -0.478 5.940
I 1.429 -2.278 5.797
I -2.807 9.002 1.001
Ca -1.946 6.067 0.213
Ag 0.893 1.790 0.804
I 0.930 7.202 0.859
Ag -2.271 4.934 5.995
```

Summary:
* symmetry: C2/m, No. 12
* D(E_F): 0.00 states/eV per atom
* formation energy (no corrections): -1.07 eV/atom
* magnetic moment: 0.000 μB/atom
* E_tot: -30.49 eV per cell

---

No. 3
VASP calculation (GGA-PBE) on a relaxed Cs3CaAg2I6 crystal. Values from VASP.

Quantum ESPRESSO input file:
```
&SYSTEM
  ibrav = 0, nat = 12, ntyp = 4
/
ATOMIC_SPECIES
Ag 107.87 Ag.upf
I 126.90 I.upf
Cs 132.91 Cs.upf
Ca 40.08 Ca.upf
CELL_PARAMETERS angstrom
8.945 0.000 0.000
-4.473 7.747 0.000
0.000 0.000 9.576
ATOMIC_POSITIONS angstrom
Ag 4.473 2.582 7.840
I -2.280 6.481 2.912
I 6.753 1.266 6.664
I 4.473 5.215 6.664
I 2.192 1.266 6.664
I 2.280 6.481 2.912
Cs 4.473 2.582 3.551
Cs 0.000 0.000 0.000
Ag 0.000 5.164 1.736
Ca 0.000 0.000 4.788
Cs 0.000 5.164 6.025
I 0.000 2.531 2.912
```

Summary:
* symmetry: P-3m1, No. 164
* D(E_F): 0.39 states/eV per atom
* formation energy (no corrections): -0.99 eV/atom
* magnetic moment: 0.039 μB/atom
* E_tot: -31.43 eV per cell

---

No. 4
VASP calculation (GGA-PBE) on a relaxed Cs3Ca2AgI9 crystal. Values from VASP.

Quantum ESPRESSO input file:
```
&SYSTEM
  ibrav = 0, nat = 15, ntyp = 4
/
ATOMIC_SPECIES
Cs 132.91 Cs.upf
I 126.90 I.upf
Ag 107.87 Ag.upf
Ca 40.08 Ca.upf
CELL_PARAMETERS angstrom
8.592 0.000 0.000
-4.296 7.441 0.000
0.000 0.000 10.833
ATOMIC_POSITIONS angstrom
Cs 4.296 2.480 3.703
Cs 0.000 4.960 7.129
I 2.127 1.228 7.136
I 6.465 1.228 7.136
I -2.169 6.213 3.696
I 4.296 0.000 0.000
Cs 0.000 0.000 0.000
I 4.296 4.985 7.136
I -2.148 3.720 0.000
Ag 0.000 0.000 5.416
Ca 0.000 4.960 1.839
I 2.148 3.720 0.000
I 0.000 2.456 3.696
Ca 4.296 2.480 8.994
I 2.169 6.213 3.696
```

Summary:
* symmetry: P-3m1, No. 164
* D(E_F): 1.13 states/eV per atom
* formation energy (no corrections): -1.25 eV/atom
* magnetic moment: 0.000 μB/atom
* E_tot: -42.11 eV per cell